1.
Material: ZrCrAs2
Method: DFT, PBE-GGA
State: optimized geometry

POSCAR file:
```
ZrCrAs2
1.0
3.770 0.000 0.000
0.000 3.770 0.000
0.000 0.000 5.419
Zr Cr As
1 1 2
Direct
0.000 0.000 0.000 Zr
0.500 0.500 0.585 Cr
0.000 0.000 0.512 As
0.500 0.500 0.072 As
```

E_form   -522 meV per atom
Total DFT energy (no corrections)   -7.389 eV/atom


2.
Material: ZrCrAs2
Method: DFT, PBE-GGA
State: optimized geometry

POSCAR file:
```
ZrCrAs2
1.0
0.000 3.223 3.223
3.223 0.000 3.223
3.223 3.223 0.000
Zr Cr As
1 1 2
Direct
0.000 0.000 0.000 Zr
0.750 0.750 0.750 Cr
0.250 0.250 0.250 As
0.500 0.500 0.500 As
```

E_form   82 meV per atom
Total DFT energy (no corrections)   -6.786 eV/atom


3.
Material: ZrCrAs2
Method: DFT, PBE-GGA
State: optimized geometry

POSCAR file:
```
ZrCrAs2
1.0
1.598 0.923 8.191
-1.598 0.923 8.191
0.000 -1.846 8.191
Zr Cr As
1 1 2
Direct
0.000 0.000 0.000 Zr
0.750 0.750 0.750 Cr
0.245 0.245 0.245 As
0.481 0.481 0.481 As
```

E_form   35 meV per atom
Total DFT energy (no corrections)   -6.833 eV/atom


4.
Material: ZrCrAs2
Method: DFT, PBE-GGA
State: optimized geometry

POSCAR file:
```
ZrCrAs2
1.0
3.675 0.000 0.000
0.000 1.772 6.132
0.000 -1.772 6.132
Zr Cr As
1 1 2
Direct
0.000 0.000 0.000 Zr
0.500 0.220 0.220 Cr
0.000 0.678 0.678 As
0.500 0.423 0.423 As
```

E_form   -452 meV per atom
Total DFT energy (no corrections)   -7.320 eV/atom


5.
Material: Zr2CrAs
Method: DFT, PBE-GGA
State: optimized geometry

POSCAR file:
```
Zr2CrAs
1.0
1.685 0.973 8.060
-1.685 0.973 8.060
0.000 -1.946 8.060
Zr Cr As
2 1 1
Direct
0.000 0.000 0.000 Zr
0.231 0.231 0.231 Zr
0.473 0.473 0.473 Cr
0.748 0.748 0.748 As
```

E_form   -15 meV per atom
Total DFT energy (no corrections)   -7.858 eV/atom


6.
Material: CsAs
Method: DFT, PBE-GGA
State: optimized geometry

POSCAR file:
```
CsAs
1.0
0.000 4.191 4.191
4.191 0.000 4.191
4.191 4.191 0.000
Cs As
1 1
Direct
0.000 0.000 0.000 Cs
0.250 0.250 0.250 As
```

E_form   520 meV per atom
Total DFT energy (no corrections)   -2.232 eV/atom


7.
Material: CsAs
Method: DFT, PBE-GGA
State: optimized geometry

POSCAR file:
```
CsAs
1.0
-6.733 6.733 2.248
6.733 -6.733 2.248
6.733 6.733 -2.248
Cs As
4 4
Direct
0.000 0.247 0.247 Cs
0.000 0.753 0.753 Cs
0.247 0.000 0.247 Cs
0.753 0.000 0.753 Cs
0.281 0.718 0.999 As
0.282 0.281 0.563 As
0.718 0.719 0.437 As
0.719 0.282 0.001 As
```

E_form   -363 meV per atom
Total DFT energy (no corrections)   -3.115 eV/atom


8.
Material: CsAs
Method: DFT, PBE-GGA
State: optimized geometry

POSCAR file:
```
CsAs
1.0
-2.861 7.380 3.619
2.861 -7.380 3.619
2.861 7.380 -3.619
Cs As
3 3
Direct
0.000 0.000 0.000 Cs
0.479 0.184 0.295 Cs
0.889 0.184 0.705 Cs
0.053 0.688 0.365 As
0.323 0.688 0.635 As
0.361 0.861 0.500 As
```

E_form   -381 meV per atom
Total DFT energy (no corrections)   -3.132 eV/atom


9.
Material: CsAs
Method: DFT, PBE-GGA
State: optimized geometry

POSCAR file:
```
CsAs
1.0
0.000 8.019 9.585
2.374 0.000 9.585
2.374 8.019 0.000
Cs As
4 4
Direct
0.014 0.014 0.736 Cs
0.264 0.264 0.986 Cs
0.736 0.736 0.014 Cs
0.986 0.986 0.264 Cs
0.303 0.447 0.303 As
0.447 0.303 0.447 As
0.553 0.697 0.553 As
0.697 0.553 0.697 As
```

E_form   -311 meV per atom
Total DFT energy (no corrections)   -3.063 eV/atom


10.
Material: CsAs
Method: DFT, PBE-GGA
State: optimized geometry

POSCAR file:
```
CsAs
1.0
7.785 0.000 0.000
0.000 7.785 0.000
0.000 0.000 7.178
Cs As
4 4
Direct
0.187 0.187 0.000 Cs
0.313 0.687 0.500 Cs
0.687 0.313 0.500 Cs
0.813 0.813 0.000 Cs
0.106 0.106 0.500 As
0.394 0.606 0.000 As
0.606 0.394 0.000 As
0.894 0.894 0.500 As
```

E_form   -257 meV per atom
Total DFT energy (no corrections)   -3.009 eV/atom


11.
Material: CsAs6
Method: DFT, PBE-GGA
State: optimized geometry

POSCAR file:
```
CsAs6
1.0
-3.771 3.771 3.771
3.771 -3.771 3.771
3.771 3.771 -3.771
Cs As
1 6
Direct
0.000 0.000 0.000 Cs
0.250 0.500 0.750 As
0.250 0.750 0.500 As
0.500 0.250 0.750 As
0.500 0.750 0.250 As
0.750 0.250 0.500 As
0.750 0.500 0.250 As
```

E_form   43 meV per atom
Total DFT energy (no corrections)   -4.064 eV/atom


12.
Material: CsAs
Method: DFT, PBE-GGA
State: optimized geometry

POSCAR file:
```
CsAs
1.0
13.151 0.000 0.000
-6.576 11.389 0.000
0.000 0.000 4.452
Cs As
6 6
Direct
0.214 0.428 0.250 Cs
0.214 0.786 0.250 Cs
0.428 0.214 0.750 Cs
0.572 0.786 0.250 Cs
0.786 0.214 0.750 Cs
0.786 0.572 0.750 Cs
0.052 0.526 0.750 As
0.474 0.526 0.750 As
0.474 0.948 0.750 As
0.526 0.052 0.250 As
0.526 0.474 0.250 As
0.948 0.474 0.250 As
```

E_form   -349 meV per atom
Total DFT energy (no corrections)   -3.100 eV/atom


13.
Material: CsAs
Method: DFT, PBE-GGA
State: optimized geometry

POSCAR file:
```
CsAs
1.0
0.000 3.768 3.768
3.768 0.000 3.768
3.768 3.768 0.000
Cs As
1 1
Direct
0.000 0.000 0.000 Cs
0.500 0.500 0.500 As
```

E_form   377 meV per atom
Total DFT energy (no corrections)   -2.374 eV/atom